DFT (PBEsol) results for an optimized crystal structure of ZnSi2P.

Raw formation energy (meV per atom): 304

abc: 3.1837 4.0169 9.3623
angles: 90.00 90.00 90.00
Last column: nearest neighbours and their distance in Å.
Space group Imm2 (No. 44)
Unique sites:
Zn: 0.0000 0.0000 0.0000 x2  6 Si 2.59-2.68
Si: 0.0000 0.0000 0.4569 x2  2 P 2.37, 4 Zn 2.59
Si: 0.0000 0.5000 0.1897 x2  4 P 2.67, 2 Zn 2.68, 2 Si 2.70
P: 0.0000 0.5000 0.7689 x2  2 Si 2.37